# 1
The following is a PBE calculation of crystalline LiTl2Sb2 at its relaxed geometry, from Alexandria.

Properties
raw total energy = -14.715 eV for the cell shown
crystal system = tetragonal
ΔE_f (raw) = 0.035 eV per atom
energy relative to the lowest polymorph listed for this composition = 147 meV/atom

Cell and atoms, written as POSCAR:
```
LiTl2Sb2
1.0
-2.295 2.295 7.613
2.295 -2.295 7.613
2.295 2.295 -7.613
Li Tl Sb
1 2 2
direct
0.000 0.000 0.000
0.250 0.750 0.500
0.750 0.250 0.500
0.409 0.409 0.000
0.591 0.591 0.000
```



# 2
The following is a PBE calculation of crystalline LiTlSb2 at its relaxed geometry, from Alexandria.

Properties
raw total energy = -12.673 eV for the cell shown
crystal system = tetragonal
ΔE_f (raw) = -0.037 eV per atom
energy relative to the lowest polymorph listed for this composition = 160 meV/atom

Cell and atoms, written as POSCAR:
```
LiTlSb2
1.0
3.224 0.000 0.000
0.000 3.224 0.000
0.000 0.000 10.151
Li Tl Sb
1 1 2
direct
0.000 0.000 0.000
0.500 0.500 0.754
0.000 0.000 0.505
0.500 0.500 0.187
```



# 3
The following is a PBE calculation of crystalline LiTlSb at its relaxed geometry, from Alexandria.

Properties
raw total energy = -18.274 eV for the cell shown
crystal system = orthorhombic
ΔE_f (raw) = -0.245 eV per atom
energy relative to the lowest polymorph listed for this composition = 10 meV/atom

Cell and atoms, written as POSCAR:
```
LiTlSb
1.0
-3.335 3.724 3.141
3.335 -3.724 3.141
3.335 3.724 -3.141
Li Tl Sb
2 2 2
direct
0.000 0.000 0.000
0.000 0.500 0.500
0.359 0.247 0.611
0.636 0.747 0.389
0.000 0.500 0.000
0.500 0.000 0.000
```



# 4
The following is a PBE calculation of crystalline Li3TlSb3 at its relaxed geometry, from Alexandria.

Properties
raw total energy = -38.683 eV for the cell shown
crystal system = cubic
ΔE_f (raw) = 0.162 eV per atom

Cell and atoms, written as POSCAR:
```
Li3TlSb3
1.0
7.477 0.000 0.000
0.000 7.477 0.000
0.000 0.000 7.477
Li Tl Sb
6 2 6
direct
0.000 0.250 0.500
0.000 0.750 0.500
0.250 0.500 0.000
0.500 0.000 0.250
0.500 0.000 0.750
0.750 0.500 0.000
0.000 0.000 0.000
0.500 0.500 0.500
0.000 0.500 0.250
0.000 0.500 0.750
0.250 0.000 0.500
0.500 0.250 0.000
0.500 0.750 0.000
0.750 0.000 0.500
```



# 5
The following is a PBE calculation of crystalline LiTl3Sb2 at its relaxed geometry, from Alexandria.

Properties
raw total energy = -35.895 eV for the cell shown
crystal system = monoclinic
ΔE_f (raw) = -0.115 eV per atom

Cell and atoms, written as POSCAR:
```
LiTl3Sb2
1.0
6.976 -2.466 0.000
6.976 2.466 0.000
-2.446 0.000 10.838
Li Tl Sb
2 6 4
direct
0.089 0.089 0.228
0.911 0.911 0.772
0.136 0.136 0.544
0.306 0.306 0.888
0.402 0.402 0.245
0.598 0.598 0.755
0.694 0.694 0.112
0.864 0.864 0.456
0.094 0.094 0.956
0.371 0.371 0.644
0.629 0.629 0.356
0.906 0.906 0.044
```



# 6
The following is a PBE calculation of crystalline Li2Tl3Sb2 at its relaxed geometry, from Alexandria.

Properties
raw total energy = -20.601 eV for the cell shown
crystal system = triclinic
ΔE_f (raw) = -0.204 eV per atom

Cell and atoms, written as POSCAR:
```
Li2Tl3Sb2
1.0
4.750 0.000 0.000
2.374 4.114 0.000
2.366 1.371 9.838
Li Tl Sb
2 3 2
direct
0.209 0.208 0.375
0.791 0.792 0.625
0.370 0.372 0.887
0.500 0.500 0.500
0.630 0.628 0.113
0.096 0.098 0.710
0.904 0.902 0.290
```



# 7
The following is a PBE calculation of crystalline LiTlZnSb at its relaxed geometry, from Alexandria.

Properties
raw total energy = -9.978 eV for the cell shown
crystal system = cubic
ΔE_f (raw) = -0.075 eV per atom

Cell and atoms, written as POSCAR:
```
LiTlZnSb
1.0
0.000 3.585 3.585
3.585 0.000 3.585
3.585 3.585 0.000
Li Tl Zn Sb
1 1 1 1
direct
0.000 0.000 0.000
0.250 0.250 0.250
0.500 0.500 0.500
0.750 0.750 0.750
```



# 8
The following is a PBE calculation of crystalline LiTm2Sb at its relaxed geometry, from Alexandria.

Properties
raw total energy = -16.875 eV for the cell shown
crystal system = tetragonal
ΔE_f (raw) = -0.474 eV per atom

Cell and atoms, written as POSCAR:
```
LiTm2Sb
1.0
4.797 0.000 0.000
0.000 4.797 0.000
0.000 0.000 4.220
Li Tm Sb
1 2 1
direct
0.000 0.000 0.000
0.000 0.500 0.500
0.500 0.000 0.500
0.500 0.500 0.000
```